Record 1
Material: BaSnHgSb
Method: DFT, PBE-GGA
State: optimized geometry

abc: 5.6766 5.6766 5.6766
angles: 60.00 60.00 60.00
Fractional coordinates of all 4 atoms:
Sn 0.2500 0.2500 0.2500
Sb 0.5000 0.5000 0.5000
Ba 0.7500 0.7500 0.7500
Hg 0.0000 0.0000 0.0000

Values from the calculation:
mass density	7.4	Mg/m³
magnetization	0.00	μB/cell
distance to the lowest polymorph of the same formula	0.055	eV/atom



Record 2
Material: Dy2ScTi
Method: DFT, PBE-GGA
State: optimized geometry

abc: 4.5200 4.7462 4.7462
angles: 90.00 90.00 90.00
Fractional coordinates of all 4 atoms:
Sc 0.5000 0.5000 0.5000
Dy 0.0000 0.5000 0.0000
Ti 0.5000 0.0000 0.0000
Dy 0.0000 0.0000 0.5000

Values from the calculation:
mass density	6.8	Mg/m³
magnetization	0.00	μB/cell
E_form	180.2	meV/atom
distance to the lowest polymorph of the same formula	0.014	eV/atom



Record 3
Material: MgZn2Bi2
Method: DFT, PBE-GGA
State: optimized geometry

abc: 8.6915 8.6915 3.4472
angles: 90.00 90.00 90.00
Fractional coordinates of all 10 atoms:
Zn 0.3991 0.1009 0.5000
Bi 0.7927 0.7073 0.0000
Mg 0.5000 0.5000 0.0000
Zn 0.1009 0.6009 0.5000
Bi 0.2927 0.7927 0.0000
Zn 0.6009 0.8991 0.5000
Bi 0.2073 0.2927 0.0000
Mg 0.0000 0.0000 0.0000
Bi 0.7073 0.2073 0.0000
Zn 0.8991 0.3991 0.5000

Values from the calculation:
mass density	7.3	Mg/m³
magnetization	0.00	μB/cell
E_form	141.2	meV/atom
distance to the lowest polymorph of the same formula	0.067	eV/atom



Q: The highest distance to the lowest polymorph of the same formula belongs to which entry?
A: MgZn2Bi2